(1)
Computed, not measured: a relaxed structure of PuAg2SnSe4 at the PBE level of DFT.

abc: 4.194 7.331 6.783
angles: 111.58 90.00 90.00
Sites, in units of the cell vectors:
Sn: 0.000 0.000 0.000
Pu: 0.500 0.500 0.000
Se: 0.000 0.751 0.250
Se: 0.000 0.249 0.750
Se: 0.500 0.742 0.743
Se: 0.500 0.258 0.257
Ag: 0.000 0.500 0.500
Ag: 0.500 0.000 0.500

Summary:
formation energy without anion corrections	-0.59	eV/atom
ρ	7.66	g/cm3

(2)
Computed, not measured: a relaxed structure of CrRuPt2 at the PBE level of DFT.

abc: 9.071 9.071 9.071
angles: 17.21 17.21 17.21
Sites, in units of the cell vectors:
Ru: 0.250 0.250 0.250
Pt: 0.004 0.004 0.004
Pt: 0.496 0.496 0.496
Cr: 0.750 0.750 0.750

Summary:
ρ	15.82	g/cm3
energy of formation from the pure elements	0.021	eV/atom

(3)
Computed, not measured: a relaxed structure of Ca2MgIr at the PBE level of DFT.

abc: 4.792 4.792 4.058
angles: 90.00 90.00 90.00
Sites, in units of the cell vectors:
Ir: 0.500 0.000 0.500
Ca: 0.500 0.500 0.000
Ca: 0.000 0.000 0.000
Mg: 0.000 0.500 0.500

Summary:
ρ	5.29	g/cm3
energy of formation from the pure elements	-0.087	eV/atom

(4)
Computed, not measured: a relaxed structure of LaTb5Sm2 at the PBE level of DFT.

abc: 3.581 11.241 8.871
angles: 129.32 101.64 90.00
Sites, in units of the cell vectors:
Tb: 0.633 0.403 0.265
Tb: 0.000 0.500 0.000
Tb: 0.367 0.138 0.735
Tb: 0.633 0.862 0.265
Tb: 0.367 0.597 0.735
Sm: 0.256 0.756 0.513
Sm: 0.744 0.244 0.487
La: 0.000 0.000 0.000

Summary:
relative energy among the computed polymorphs	0.07	eV/f.u.
ρ	7.68	g/cm3
energy of formation from the pure elements	0.029	eV/atom

(5)
Computed, not measured: a relaxed structure of SrCdAu2 at the PBE level of DFT.

abc: 3.856 5.356 5.356
angles: 95.30 90.00 90.00
Sites, in units of the cell vectors:
Au: 0.500 0.612 0.001
Au: 0.500 0.999 0.388
Sr: 0.000 0.101 0.899
Cd: 0.500 0.503 0.497

Summary:
ρ	8.96	g/cm3
energy of formation from the pure elements	-0.466	eV/atom

(6)
Computed, not measured: a relaxed structure of Ho3Zn at the PBE level of DFT.

abc: 3.655 5.232 6.462
angles: 113.88 106.43 90.00
Sites, in units of the cell vectors:
Ho: 0.713 0.130 0.426
Ho: 0.500 0.417 0.000
Ho: 0.287 0.703 0.574
Zn: 0.000 0.917 0.000

Summary:
relative energy among the computed polymorphs	0.05	eV/f.u.
ρ	8.66	g/cm3
energy of formation from the pure elements	-0.150	eV/atom

Total DFT energy (no corrections), respectively: -0.19606, -0.28385, -0.13603, -0.17129, -0.10121, -0.14338 hartree per atom.